Record 1
Sr2BeGa after structural relaxation. Source: Alexandria, functional PBE.

Cell lengths 8.4946, 8.4946, 7.3007 Å; angles 90.00, 90.00, 90.00 degrees
Closest atoms and distances in Å follow each position.
Fractional positions:
Sr: 0.2342 0.2500 0.1250  2 Be 3.05, 2 Ga 3.23
Sr: 0.2500 0.7342 0.3750  2 Be 3.05, 2 Ga 3.23
Sr: 0.2500 0.7658 0.8750  2 Be 3.05, 2 Ga 3.23
Sr: 0.2658 0.2500 0.6250  2 Be 3.05, 2 Ga 3.23
Sr: 0.7342 0.7500 0.6250  2 Be 3.05, 2 Ga 3.23
Sr: 0.7500 0.2342 0.8750  2 Be 3.05, 2 Ga 3.23
Sr: 0.7500 0.2658 0.3750  2 Be 3.05, 2 Ga 3.23
Sr: 0.7658 0.7500 0.1250  2 Be 3.05, 2 Ga 3.23
Be: 0.0000 0.0000 0.0000  4 Sr 3.05
Be: 0.0000 0.5000 0.2500  4 Sr 3.05
Be: 0.5000 0.0000 0.7500  4 Sr 3.05
Be: 0.5000 0.5000 0.5000  4 Sr 3.05
Ga: 0.0000 0.0000 0.5000  4 Sr 3.23
Ga: 0.0000 0.5000 0.7500  4 Sr 3.23
Ga: 0.5000 0.0000 0.2500  4 Sr 3.23
Ga: 0.5000 0.5000 0.0000  4 Sr 3.23

excess energy over the best structure of this formula in the dataset	0.363	eV/atom
space-group type	No. 122
formation enthalpy at 0 K	177	kJ/mol of formula units
E_tot	-2.070	eV/atom

---

Record 2
Sr3BeGa after structural relaxation. Source: Alexandria, functional PBE.

Cell lengths 5.8452, 5.8452, 5.8452 Å; angles 90.00, 90.00, 90.00 degrees
Closest atoms and distances in Å follow each position.
Fractional positions:
Sr: 0.0000 0.0000 0.5000  2 Be 2.92
Sr: 0.0000 0.5000 0.0000  2 Be 2.92
Sr: 0.5000 0.0000 0.0000  2 Be 2.92
Be: 0.0000 0.0000 0.0000  6 Sr 2.92
Ga: 0.5000 0.5000 0.5000  12 Sr 4.13

excess energy over the best structure of this formula in the dataset	0.000	eV/atom
space-group type	No. 221
formation enthalpy at 0 K	179	kJ/mol of formula units
E_tot	-1.988	eV/atom

---

Record 3
Sr2BeGa2 after structural relaxation. Source: Alexandria, functional PBE.

Cell lengths 8.9876, 8.9876, 3.7945 Å; angles 90.00, 90.00, 90.00 degrees
Closest atoms and distances in Å follow each position.
Fractional positions:
Sr: 0.1933 0.3067 0.0000  6 Ga 3.24-3.35, 2 Be 3.26
Sr: 0.3067 0.8067 0.0000  6 Ga 3.24-3.35, 2 Be 3.26
Sr: 0.6933 0.1933 0.0000  6 Ga 3.24-3.35, 2 Be 3.26
Sr: 0.8067 0.6933 0.0000  6 Ga 3.24-3.35, 2 Be 3.26
Be: 0.0000 0.0000 0.0000  4 Sr 3.26
Be: 0.5000 0.5000 0.0000  4 Sr 3.26
Ga: 0.1001 0.6001 0.5000  1 Ga 2.54
Ga: 0.3999 0.1001 0.5000  1 Ga 2.54
Ga: 0.6001 0.8999 0.5000  1 Ga 2.54
Ga: 0.8999 0.3999 0.5000  1 Ga 2.54

excess energy over the best structure of this formula in the dataset	0.297	eV/atom
space-group type	No. 127
formation enthalpy at 0 K	149	kJ/mol of formula units
E_tot	-2.321	eV/atom

---

Record 4
Sr2BeGa2 after structural relaxation. Source: Alexandria, functional PBE.

Cell lengths 7.0385, 7.0385, 5.1308 Å; angles 90.00, 90.00, 90.00 degrees
Closest atoms and distances in Å follow each position.
Fractional positions:
Sr: 0.1778 0.3222 0.0000  6 Ga 3.17-3.39, 1 Sr 3.54
Sr: 0.3222 0.8222 0.0000  6 Ga 3.17-3.39, 1 Sr 3.54
Sr: 0.6778 0.1778 0.0000  6 Ga 3.17-3.39, 1 Sr 3.54
Sr: 0.8222 0.6778 0.0000  6 Ga 3.17-3.39, 1 Sr 3.54
Be: 0.0000 0.0000 0.5000  4 Ga 2.74
Be: 0.5000 0.5000 0.5000  4 Ga 2.74
Ga: 0.1351 0.6351 0.5000  1 Ga 2.69, 2 Be 2.74
Ga: 0.3649 0.1351 0.5000  1 Ga 2.69, 2 Be 2.74
Ga: 0.6351 0.8649 0.5000  1 Ga 2.69, 2 Be 2.74
Ga: 0.8649 0.3649 0.5000  1 Ga 2.69, 2 Be 2.74

excess energy over the best structure of this formula in the dataset	0.000	eV/atom
space-group type	No. 127
formation enthalpy at 0 K	5	kJ/mol of formula units
E_tot	-2.618	eV/atom

---

Record 5
SrBe3Ga after structural relaxation. Source: Alexandria, functional PBE.

Cell lengths 4.4317, 4.4317, 4.4317 Å; angles 90.00, 90.00, 90.00 degrees
Closest atoms and distances in Å follow each position.
Fractional positions:
Sr: 0.0000 0.0000 0.0000  12 Be 3.13
Be: 0.0000 0.5000 0.5000  2 Ga 2.22
Be: 0.5000 0.0000 0.5000  2 Ga 2.22
Be: 0.5000 0.5000 0.0000  2 Ga 2.22
Ga: 0.5000 0.5000 0.5000  6 Be 2.22

excess energy over the best structure of this formula in the dataset	0.000	eV/atom
space-group type	No. 221
formation enthalpy at 0 K	252	kJ/mol of formula units
E_tot	-2.654	eV/atom

---

Record 6
SrBeGa2 after structural relaxation. Source: Alexandria, functional PBE.

Cell lengths 4.9227, 4.9227, 15.8399 Å; angles 90.00, 90.00, 90.00 degrees
Closest atoms and distances in Å follow each position.
Fractional positions:
Sr: 0.0000 0.2500 0.3750  8 Ga 3.39, 4 Be 3.48
Sr: 0.0000 0.7500 0.6250  8 Ga 3.39, 4 Be 3.48
Sr: 0.5000 0.2500 0.1250  8 Ga 3.39, 4 Be 3.48
Sr: 0.5000 0.7500 0.8750  8 Ga 3.39, 4 Be 3.48
Be: 0.0000 0.2500 0.8750  4 Ga 2.33
Be: 0.0000 0.7500 0.1250  4 Ga 2.33
Be: 0.5000 0.2500 0.6250  4 Ga 2.33
Be: 0.5000 0.7500 0.3750  4 Ga 2.33
Ga: 0.0000 0.0000 0.0000  2 Be 2.33, 2 Ga 2.46
Ga: 0.0000 0.5000 0.0000  2 Be 2.33, 2 Ga 2.46
Ga: 0.2500 0.2500 0.7500  2 Be 2.33, 2 Ga 2.46
Ga: 0.2500 0.7500 0.2500  2 Be 2.33, 2 Ga 2.46
Ga: 0.5000 0.0000 0.5000  2 Be 2.33, 2 Ga 2.46
Ga: 0.5000 0.5000 0.5000  2 Be 2.33, 2 Ga 2.46
Ga: 0.7500 0.2500 0.7500  2 Be 2.33, 2 Ga 2.46
Ga: 0.7500 0.7500 0.2500  2 Be 2.33, 2 Ga 2.46

space-group type	No. 141
formation enthalpy at 0 K	-28	kJ/mol of formula units
E_tot	-2.937	eV/atom

---

Record 7
Sr2BeGa2 after structural relaxation. Source: Alexandria, functional PBE.

Cell lengths 3.8012, 3.8012, 19.1782 Å; angles 90.00, 90.00, 90.00 degrees
Closest atoms and distances in Å follow each position.
Fractional positions:
Sr: 0.0000 0.0000 0.0965  4 Be 3.26, 4 Ga 3.50
Sr: 0.0000 0.0000 0.9035  4 Be 3.26, 4 Ga 3.50
Sr: 0.5000 0.5000 0.4035  4 Be 3.26, 4 Ga 3.50
Sr: 0.5000 0.5000 0.5965  4 Be 3.26, 4 Ga 3.50
Be: 0.0000 0.0000 0.5000  8 Sr 3.26
Be: 0.5000 0.5000 0.0000  8 Sr 3.26
Ga: 0.0000 0.5000 0.2500  4 Ga 2.69
Ga: 0.0000 0.5000 0.7500  4 Ga 2.69
Ga: 0.5000 0.0000 0.2500  4 Ga 2.69
Ga: 0.5000 0.0000 0.7500  4 Ga 2.69

excess energy over the best structure of this formula in the dataset	0.139	eV/atom
space-group type	No. 139
formation enthalpy at 0 K	72	kJ/mol of formula units
E_tot	-2.479	eV/atom

---

Record 8
SrBe2Ga2 after structural relaxation. Source: Alexandria, functional PBE.

Cell lengths 4.1604, 4.1604, 10.1895 Å; angles 90.00, 90.00, 90.00 degrees
Closest atoms and distances in Å follow each position.
Fractional positions:
Sr: 0.0000 0.0000 0.0000  8 Ga 3.24, 8 Be 3.29
Sr: 0.5000 0.5000 0.5000  8 Ga 3.24, 8 Be 3.29
Be: 0.0000 0.5000 0.2500  4 Ga 2.40
Be: 0.0000 0.5000 0.7500  4 Ga 2.40
Be: 0.5000 0.0000 0.2500  4 Ga 2.40
Be: 0.5000 0.0000 0.7500  4 Ga 2.40
Ga: 0.0000 0.0000 0.3673  4 Be 2.40
Ga: 0.0000 0.0000 0.6327  4 Be 2.40
Ga: 0.5000 0.5000 0.1327  4 Be 2.40
Ga: 0.5000 0.5000 0.8673  4 Be 2.40

space-group type	No. 139
formation enthalpy at 0 K	-60	kJ/mol of formula units
E_tot	-3.163	eV/atom

---

Record 9
SrBe3Ga after structural relaxation. Source: Alexandria, functional PBE.

Cell lengths 5.5855, 5.5855, 5.5855 Å; angles 90.00, 90.00, 90.00 degrees
Closest atoms and distances in Å follow each position.
Fractional positions:
Sr: 0.0000 0.0000 0.0000  6 Be 2.79
Be: 0.0000 0.0000 0.5000  2 Sr 2.79
Be: 0.0000 0.5000 0.0000  2 Sr 2.79
Be: 0.5000 0.0000 0.0000  2 Sr 2.79
Ga: 0.5000 0.5000 0.5000  12 Be 3.95

excess energy over the best structure of this formula in the dataset	1.544	eV/atom
space-group type	No. 221
formation enthalpy at 0 K	997	kJ/mol of formula units
E_tot	-1.110	eV/atom

---

Record 10
Sr4BeGa2 after structural relaxation. Source: Alexandria, functional PBE.

Cell lengths 5.9828, 5.9828, 15.1784 Å; angles 90.00, 90.00, 90.00 degrees
Closest atoms and distances in Å follow each position.
Fractional positions:
Sr: 0.0000 0.0000 0.2001  1 Be 3.04, 1 Ga 3.17
Sr: 0.0000 0.0000 0.7999  1 Be 3.04, 1 Ga 3.17
Sr: 0.0000 0.5000 0.0000  2 Be 2.99, 4 Ga 3.29
Sr: 0.0000 0.5000 0.5000  2 Be 2.99, 4 Ga 3.29
Sr: 0.5000 0.0000 0.0000  2 Be 2.99, 4 Ga 3.29
Sr: 0.5000 0.0000 0.5000  2 Be 2.99, 4 Ga 3.29
Sr: 0.5000 0.5000 0.2999  1 Be 3.04, 1 Ga 3.17
Sr: 0.5000 0.5000 0.7001  1 Be 3.04, 1 Ga 3.17
Be: 0.0000 0.0000 0.0000  6 Sr 2.99-3.04
Be: 0.5000 0.5000 0.5000  6 Sr 2.99-3.04
Ga: 0.0000 0.0000 0.4092  1 Ga 2.76
Ga: 0.0000 0.0000 0.5908  1 Ga 2.76
Ga: 0.5000 0.5000 0.0908  1 Ga 2.76
Ga: 0.5000 0.5000 0.9092  1 Ga 2.76

space-group type	No. 139
formation enthalpy at 0 K	97	kJ/mol of formula units
E_tot	-2.215	eV/atom

---

Record 11
Sr2BeGa after structural relaxation. Source: Alexandria, functional PBE.

Cell lengths 7.6713, 7.6713, 7.6713 Å; angles 90.00, 90.00, 90.00 degrees
Closest atoms and distances in Å follow each position.
Fractional positions:
Sr: 0.2500 0.2500 0.2500  4 Ga 3.32, 4 Be 3.32
Sr: 0.2500 0.2500 0.7500  4 Be 3.32, 4 Ga 3.32
Sr: 0.2500 0.7500 0.2500  4 Be 3.32, 4 Ga 3.32
Sr: 0.2500 0.7500 0.7500  4 Ga 3.32, 4 Be 3.32
Sr: 0.7500 0.2500 0.2500  4 Be 3.32, 4 Ga 3.32
Sr: 0.7500 0.2500 0.7500  4 Ga 3.32, 4 Be 3.32
Sr: 0.7500 0.7500 0.2500  4 Ga 3.32, 4 Be 3.32
Sr: 0.7500 0.7500 0.7500  4 Be 3.32, 4 Ga 3.32
Be: 0.0000 0.0000 0.0000  8 Sr 3.32
Be: 0.0000 0.5000 0.5000  8 Sr 3.32
Be: 0.5000 0.0000 0.5000  8 Sr 3.32
Be: 0.5000 0.5000 0.0000  8 Sr 3.32
Ga: 0.0000 0.0000 0.5000  8 Sr 3.32
Ga: 0.0000 0.5000 0.0000  8 Sr 3.32
Ga: 0.5000 0.0000 0.0000  8 Sr 3.32
Ga: 0.5000 0.5000 0.5000  8 Sr 3.32

excess energy over the best structure of this formula in the dataset	0.000	eV/atom
space-group type	No. 225
formation enthalpy at 0 K	37	kJ/mol of formula units
E_tot	-2.433	eV/atom

---

Record 12
Ta4BeGa after structural relaxation. Source: Alexandria, functional PBE.

Cell lengths 6.1717, 6.1717, 5.0377 Å; angles 90.00, 90.00, 90.00 degrees
Closest atoms and distances in Å follow each position.
Fractional positions:
Ta: 0.1428 0.3252 0.0000  2 Be 2.53, 2 Ga 2.76, 1 Ta 2.79
Ta: 0.1428 0.6748 0.5000  2 Be 2.53, 2 Ga 2.76, 1 Ta 2.79
Ta: 0.3252 0.1428 0.5000  2 Be 2.53, 2 Ga 2.76, 1 Ta 2.79
Ta: 0.3252 0.8572 0.0000  2 Be 2.53, 2 Ga 2.76, 1 Ta 2.79
Ta: 0.6748 0.1428 0.0000  2 Be 2.53, 2 Ga 2.76, 1 Ta 2.79
Ta: 0.6748 0.8572 0.5000  2 Be 2.53, 2 Ga 2.76, 1 Ta 2.79
Ta: 0.8572 0.3252 0.5000  2 Be 2.53, 2 Ga 2.76, 1 Ta 2.79
Ta: 0.8572 0.6748 0.0000  2 Be 2.53, 2 Ga 2.76, 1 Ta 2.79
Be: 0.0000 0.0000 0.2500  2 Be 2.52, 8 Ta 2.53
Be: 0.0000 0.0000 0.7500  2 Be 2.52, 8 Ta 2.53
Ga: 0.5000 0.5000 0.2500  2 Ga 2.52, 8 Ta 2.76
Ga: 0.5000 0.5000 0.7500  2 Ga 2.52, 8 Ta 2.76

space-group type	No. 124
formation enthalpy at 0 K	-143	kJ/mol of formula units
E_tot	-9.274	eV/atom